A plane-wave DFT calculation with GGA-PBE was carried out for a relaxed AgGeN2F crystal.

POSCAR file:
```
AgGeN2F
1.0
4.0627 0.0000 0.0000
0.0000 4.0627 0.0000
0.0000 0.0000 4.4772
Ag Ge N F
1 1 2 1
Cartesian
0.0000 0.0000 0.0000
2.0314 2.0314 2.2386
0.0000 2.0314 0.0000
2.0314 0.0000 0.0000
0.0000 0.0000 2.2386
```

Results
* ρ: 5.11 g/cm³
* formation energy without anion corrections: 1.2484 eV/atom
* M_tot: 2.20 μB per formula unit
* energy above the most stable polymorph in this dataset: 0.765 eV per atom